(1)
This record from the Alexandria database describes a PBEsol-optimized structure of Rb3NaN. The functional is meta-GGA SCAN.

Computed properties:
**SG**: Pm-3m
**N(E_F)**: 0.97 states/eV per atom
**Raw total energy**: -14.1071 eV per atom
**M_tot**: 0.35 μB/atom
**V**: 78.3 Å³ per atom

extended XYZ file:
```
5
Lattice="-7.146 -1.552 -0.175 0.243 -0.297 -7.305 1.543 -7.142 0.342" Properties=species:S:1:pos:R:3 pbc="T T T"
N -2.680 -4.496 -3.569
Rb -3.573 -0.776 -0.087
Na 0.000 0.000 0.000
Rb 0.122 -0.149 -3.653
Rb 0.772 -3.571 0.171
```

---

(2)
This record from the Alexandria database describes a PBEsol-optimized structure of Cd2WCl. The functional is meta-GGA SCAN.

Computed properties:
**SG**: Cmmm
**N(E_F)**: 0.56 states/eV per atom
**Raw total energy**: -34.1149 eV per atom
**M_tot**: 0.00 μB/atom
**V**: 18.2 Å³ per atom

extended XYZ file:
```
4
Lattice="-2.596 0.343 1.188 -0.625 -5.194 0.134 2.237 1.861 4.350" Properties=species:S:1:pos:R:3 pbc="T T T"
Cd -0.313 -2.597 0.067
Cl -0.492 -1.495 2.836
Cd 1.119 0.931 2.175
W -1.298 0.172 0.594
```

---

(3)
This record from the Alexandria database describes a PBEsol-optimized structure of TaAlCr2. The functional is meta-GGA SCAN.

Computed properties:
**SG**: P4/mmm
**N(E_F)**: 0.69 states/eV per atom
**M_tot**: 0.94 μB/atom
**V**: 13.8 Å³ per atom
**Energy of formation from the pure elements**: -0.17 eV per atom

extended XYZ file:
```
4
Lattice="3.154 0.000 0.000 0.000 4.183 0.000 0.000 0.000 4.183" Properties=species:S:1:pos:R:3 pbc="T T T"
Ta 1.577 2.092 2.092
Cr 0.000 0.000 2.092
Al 1.577 0.000 0.000
Cr 0.000 2.092 0.000
```

---

(4)
This record from the Alexandria database describes a PBEsol-optimized structure of Mg2CuRh. The functional is meta-GGA SCAN.

Computed properties:
**SG**: I-4m2
**N(E_F)**: 0.36 states/eV per atom
**M_tot**: 0.00 μB/atom
**V**: 14.8 Å³ per atom
**Energy of formation from the pure elements**: -0.30 eV per atom

extended XYZ file:
```
4
Lattice="-1.129 -2.461 2.697 1.679 -2.857 -1.903 3.160 3.318 1.643" Properties=species:S:1:pos:R:3 pbc="T T T"
Mg 1.153 -0.900 2.369
Mg 0.000 0.000 0.000
Cu 2.557 -1.098 0.068
Rh 0.275 -2.659 0.397
```

---

(5)
This record from the Alexandria database describes a PBEsol-optimized structure of TlIr3C. The functional is meta-GGA SCAN.

Computed properties:
**SG**: Pm-3m
**N(E_F)**: 0.57 states/eV per atom
**M_tot**: 0.00 μB/atom
**V**: 14.2 Å³ per atom
**Energy of formation from the pure elements**: 0.75 eV per atom

extended XYZ file:
```
5
Lattice="4.144 0.000 0.000 0.000 4.144 0.000 0.000 0.000 4.144" Properties=species:S:1:pos:R:3 pbc="T T T"
Tl 2.072 2.072 2.072
C 0.000 0.000 0.000
Ir 2.072 0.000 0.000
Ir 0.000 0.000 2.072
Ir 0.000 2.072 0.000
```

---

(6)
This record from the Alexandria database describes a PBEsol-optimized structure of La3In. The functional is meta-GGA SCAN.

Computed properties:
**SG**: Immm
**N(E_F)**: 1.17 states/eV per atom
**M_tot**: 0.00 μB/atom
**V**: 31.9 Å³ per atom
**Energy of formation from the pure elements**: -0.33 eV per atom

extended XYZ file:
```
4
Lattice="-1.782 -0.245 3.539 2.960 -4.568 1.174 3.560 5.691 -0.040" Properties=species:S:1:pos:R:3 pbc="T T T"
La 0.991 1.367 2.821
In 0.000 0.000 0.000
La 3.747 -0.490 1.853
La 0.589 -2.407 2.357
```

---

(7)
This record from the Alexandria database describes a PBEsol-optimized structure of CuIr3. The functional is meta-GGA SCAN.

Computed properties:
**SG**: Pmmm
**N(E_F)**: 0.84 states/eV per atom
**M_tot**: 0.00 μB/atom
**V**: 13.5 Å³ per atom
**Energy of formation from the pure elements**: 0.07 eV per atom

extended XYZ file:
```
4
Lattice="2.700 0.000 0.000 0.000 3.753 0.000 0.000 0.000 5.324" Properties=species:S:1:pos:R:3 pbc="T T T"
Ir 1.350 1.876 1.311
Cu 0.000 0.000 0.000
Ir 1.350 1.876 4.013
Ir 0.000 0.000 2.662
```

---

(8)
This record from the Alexandria database describes a PBEsol-optimized structure of LiCrP2Cl. The functional is meta-GGA SCAN.

Computed properties:
**SG**: P4/mmm
**N(E_F)**: 0.37 states/eV per atom
**Raw total energy**: -10.1051 eV per atom
**M_tot**: 0.00 μB/atom
**V**: 19.4 Å³ per atom

extended XYZ file:
```
5
Lattice="-1.862 -2.280 3.087 -1.968 -2.379 -2.944 4.112 -3.380 -0.017" Properties=species:S:1:pos:R:3 pbc="T T T"
Li 0.141 -4.020 0.063
Cl 2.056 -1.690 -0.009
P -0.984 -1.189 -1.472
P -0.931 -1.140 1.544
Cr 0.000 0.000 0.000
```

---

(9)
This record from the Alexandria database describes a PBEsol-optimized structure of Li2BeOs. The functional is meta-GGA SCAN.

Computed properties:
**SG**: P4mm
**N(E_F)**: 0.42 states/eV per atom
**M_tot**: 0.00 μB/atom
**V**: 12.5 Å³ per atom
**Energy of formation from the pure elements**: 0.11 eV per atom

extended XYZ file:
```
4
Lattice="-0.766 -2.921 -0.013 2.412 -0.640 1.701 -2.982 0.761 4.516" Properties=species:S:1:pos:R:3 pbc="T T T"
Os -1.614 0.412 2.444
Be -1.221 -1.259 3.940
Li 0.010 -1.573 2.075
Li -0.002 0.001 0.003
```

---

(10)
This record from the Alexandria database describes a PBEsol-optimized structure of LiNiP2. The functional is meta-GGA SCAN.

Computed properties:
**SG**: P4mm
**N(E_F)**: 0.31 states/eV per atom
**M_tot**: 0.00 μB/atom
**V**: 11.8 Å³ per atom
**Energy of formation from the pure elements**: -0.08 eV per atom

extended XYZ file:
```
4
Lattice="3.216 0.000 0.000 0.000 3.216 0.000 0.000 0.000 4.547" Properties=species:S:1:pos:R:3 pbc="T T T"
Ni 1.608 1.608 3.462
P 0.000 0.000 4.522
Li 0.000 0.000 2.242
P 1.608 1.608 1.142
```

---

(11)
This record from the Alexandria database describes a PBEsol-optimized structure of NbCuPbBr2. The functional is meta-GGA SCAN.

Computed properties:
**SG**: P4/mmm
**N(E_F)**: 1.05 states/eV per atom
**Raw total energy**: -31.7553 eV per atom
**M_tot**: 0.81 μB/atom
**V**: 31.7 Å³ per atom

extended XYZ file:
```
5
Lattice="4.849 0.000 0.000 0.000 5.715 0.000 0.000 0.000 5.715" Properties=species:S:1:pos:R:3 pbc="T T T"
Cu 2.425 0.000 0.000
Pb 0.000 0.000 0.000
Br 0.000 0.000 2.857
Br 0.000 2.857 0.000
Nb 2.425 2.857 2.857
```

---

(12)
This record from the Alexandria database describes a PBEsol-optimized structure of MoRuPt2. The functional is meta-GGA SCAN.

Computed properties:
**SG**: Pmmm
**N(E_F)**: 1.13 states/eV per atom
**M_tot**: 0.00 μB/atom
**V**: 14.5 Å³ per atom
**Energy of formation from the pure elements**: -0.18 eV per atom

extended XYZ file:
```
4
Lattice="-2.530 -0.931 0.182 1.326 -3.713 -0.551 0.595 -0.576 5.317" Properties=species:S:1:pos:R:3 pbc="T T T"
Pt 0.446 -0.432 3.988
Ru -0.602 -2.322 -0.184
Mo -0.304 -2.610 2.474
Pt 0.149 -0.144 1.329
```

---

- Which value of N(E_F) does entry 4 give?
  0.36 states/eV per atom